First-principles (PBE) data for a geometry-optimized DyTlHgO3 structure, as listed in OQMD.

Summary:
As for the space-group type: Cmcm. As for the calculated total energy: -5.364 eV/atom. As for the mass density: 9.69 g/cm³.

a b c (Å): 8.8992 6.9579 6.9579
angles (deg): 150.67 90.00 90.00
Fractional positions:
Dy 0.0000 0.0000 0.0000
Dy 0.5000 0.0000 0.0000
Hg 0.7500 0.6469 0.3531
Hg 0.2500 0.3531 0.6469
O 0.7500 0.9573 0.0427
O 0.5228 0.6070 0.3931
O 0.9772 0.6070 0.3931
O 0.0228 0.3931 0.6070
O 0.4772 0.3931 0.6070
O 0.2500 0.0427 0.9573
Tl 0.2500 0.6676 0.3324
Tl 0.7500 0.3324 0.6676

***

First-principles (PBE) data for a geometry-optimized Dy4HgOs structure, as listed in OQMD.

Summary:
As for the space-group type: C2/c. As for the calculated total energy: -5.333 eV/atom. For the energy of formation, the calculation gives -0.344 eV per atom. As for the mass density: 10.61 g/cm³.

a b c (Å): 7.6752 7.6752 6.2041
angles (deg): 98.55 98.55 112.32
Fractional positions:
Dy 0.2759 0.9350 0.0418
Dy 0.2049 0.3595 0.0944
Dy 0.6405 0.7951 0.4056
Dy 0.0650 0.7241 0.4582
Dy 0.9350 0.2759 0.5418
Dy 0.3595 0.2049 0.5944
Dy 0.7951 0.6405 0.9056
Dy 0.7241 0.0650 0.9582
Hg 0.6275 0.3725 0.2500
Hg 0.3725 0.6275 0.7500
Os 0.0006 0.9994 0.2500
Os 0.9994 0.0006 0.7500

***

First-principles (PBE) data for a geometry-optimized DyHgOs structure, as listed in OQMD.

Summary:
As for the space-group type: F-43m. As for the calculated total energy: -5.001 eV/atom. For the energy of formation, the calculation gives 0.374 eV per atom. As for the mass density: 12.80 g/cm³.

a b c (Å): 4.6644 4.6644 4.6644
angles (deg): 60.00 60.00 60.00
Fractional positions:
Dy 0.2500 0.2500 0.2500
Hg 0.7500 0.7500 0.7500
Os 0.0000 0.0000 0.0000

***

First-principles (PBE) data for a geometry-optimized DyPaHg structure, as listed in OQMD.

Summary:
Its relative energy among the computed polymorphs is 0.0 kJ/mol of formula units. As for the space-group type: F-43m. As for the calculated total energy: -4.357 eV/atom. For the energy of formation, the calculation gives 0.442 eV per atom. As for the mass density: 10.71 g/cm³.

a b c (Å): 5.0693 5.0693 5.0693
angles (deg): 60.00 60.00 60.00
Fractional positions:
Dy 0.2500 0.2500 0.2500
Hg 0.0000 0.0000 0.0000
Pa 0.7500 0.7500 0.7500

***

First-principles (PBE) data for a geometry-optimized DyHgPb structure, as listed in OQMD.

Summary:
As for the space-group type: F-43m. As for the calculated total energy: -2.942 eV/atom. As for the mass density: 10.24 g/cm³.

a b c (Å): 5.0760 5.0760 5.0760
angles (deg): 60.00 60.00 60.00
Fractional positions:
Dy 0.2500 0.2500 0.2500
Hg 0.7500 0.7500 0.7500
Pb 0.0000 0.0000 0.0000

***

First-principles (PBE) data for a geometry-optimized DyHgPb structure, as listed in OQMD.

Summary:
As for the space-group type: F-43m. As for the calculated total energy: -3.025 eV/atom. As for the mass density: 10.14 g/cm³.

a b c (Å): 5.0918 5.0918 5.0918
angles (deg): 60.00 60.00 60.00
Fractional positions:
Dy 0.0000 0.0000 0.0000
Hg 0.2500 0.2500 0.2500
Pb 0.7500 0.7500 0.7500

***

First-principles (PBE) data for a geometry-optimized DyHg2Pb structure, as listed in OQMD.

Summary:
As for the space-group type: P4/mmm. As for the calculated total energy: -2.564 eV/atom. As for the mass density: 12.67 g/cm³.

a b c (Å): 4.5653 4.5653 4.8474
angles (deg): 90.00 90.00 90.00
Fractional positions:
Dy 0.0000 0.0000 0.5000
Hg 0.5000 0.0000 0.0000
Hg 0.0000 0.5000 0.0000
Pb 0.5000 0.5000 0.5000

***

First-principles (PBE) data for a geometry-optimized PmDyHg structure, as listed in OQMD.

Summary:
Its relative energy among the computed polymorphs is 0.0 kJ/mol of formula units. As for the space-group type: F-43m. As for the calculated total energy: -3.315 eV/atom. For the energy of formation, the calculation gives -0.101 eV per atom. As for the mass density: 8.73 g/cm³.

a b c (Å): 5.1504 5.1504 5.1504
angles (deg): 60.00 60.00 60.00
Fractional positions:
Dy 0.2500 0.2500 0.2500
Hg 0.0000 0.0000 0.0000
Pm 0.7500 0.7500 0.7500

***

First-principles (PBE) data for a geometry-optimized PrDyHg structure, as listed in OQMD.

Summary:
Its relative energy among the computed polymorphs is 69.5 kJ/mol of formula units. As for the space-group type: F-43m. As for the calculated total energy: -3.320 eV/atom. For the energy of formation, the calculation gives -0.096 eV per atom. As for the mass density: 8.47 g/cm³.

a b c (Å): 5.1899 5.1899 5.1899
angles (deg): 60.00 60.00 60.00
Fractional positions:
Dy 0.2500 0.2500 0.2500
Hg 0.0000 0.0000 0.0000
Pr 0.7500 0.7500 0.7500

***

First-principles (PBE) data for a geometry-optimized PrDyHg structure, as listed in OQMD.

Summary:
Its relative energy among the computed polymorphs is 0.0 kJ/mol of formula units. As for the space-group type: Pnma. As for the calculated total energy: -3.561 eV/atom. For the energy of formation, the calculation gives -0.336 eV per atom. As for the mass density: 9.42 g/cm³.

a b c (Å): 7.4457 5.1077 9.3423
angles (deg): 90.00 90.00 90.00
Fractional positions:
Dy 0.6609 0.7500 0.0740
Dy 0.1609 0.7500 0.4260
Dy 0.8391 0.2500 0.5740
Dy 0.3391 0.2500 0.9260
Hg 0.2535 0.7500 0.1053
Hg 0.7535 0.7500 0.3947
Hg 0.2465 0.2500 0.6053
Hg 0.7465 0.2500 0.8947
Pr 0.9850 0.2500 0.1877
Pr 0.4850 0.2500 0.3123
Pr 0.5150 0.7500 0.6877
Pr 0.0150 0.7500 0.8123

***

First-principles (PBE) data for a geometry-optimized PrDyHg6 structure, as listed in OQMD.

Summary:
As for the space-group type: P-6m2. As for the calculated total energy: -1.760 eV/atom. For the energy of formation, the calculation gives -0.365 eV per atom. As for the mass density: 12.95 g/cm³.

a b c (Å): 6.6593 6.6593 5.0328
angles (deg): 90.00 90.00 120.00
Fractional positions:
Dy 0.0000 0.0000 0.5000
Hg 0.3321 0.1660 0.0000
Hg 0.8340 0.1660 0.0000
Hg 0.8340 0.6679 0.0000
Hg 0.5046 0.0092 0.5000
Hg 0.5046 0.4954 0.5000
Hg 0.9908 0.4954 0.5000
Pr 0.3333 0.6667 0.0000

***

First-principles (PBE) data for a geometry-optimized DyPuHg structure, as listed in OQMD.

Summary:
Its relative energy among the computed polymorphs is 0.0 kJ/mol of formula units. As for the space-group type: F-43m. As for the calculated total energy: -6.236 eV/atom. For the energy of formation, the calculation gives 0.106 eV per atom. As for the mass density: 10.85 g/cm³.

a b c (Å): 5.0835 5.0835 5.0835
angles (deg): 60.00 60.00 60.00
Fractional positions:
Dy 0.5000 0.5000 0.5000
Hg 0.2500 0.2500 0.2500
Pu 0.0000 0.0000 0.0000

***

First-principles (PBE) data for a geometry-optimized RbDyHg structure, as listed in OQMD.

Summary:
As for the space-group type: F-43m. As for the calculated total energy: -1.380 eV/atom. As for the mass density: 6.84 g/cm³.

a b c (Å): 5.3613 5.3613 5.3613
angles (deg): 60.00 60.00 60.00
Fractional positions:
Dy 0.0000 0.0000 0.0000
Hg 0.2500 0.2500 0.2500
Rb 0.7500 0.7500 0.7500

***

First-principles (PBE) data for a geometry-optimized RbDyHgS3 structure, as listed in OQMD.

Summary:
As for the space-group type: C2/m. As for the calculated total energy: -4.224 eV/atom. As for the mass density: 5.67 g/cm³.

a b c (Å): 9.0501 9.0501 9.0591
angles (deg): 102.10 102.10 26.11
Fractional positions:
Dy 0.1688 0.1688 0.0730
Dy 0.8312 0.8312 0.9270
Hg 0.5135 0.5135 0.2257
Hg 0.4865 0.4865 0.7743
Rb 0.8537 0.8537 0.4332
Rb 0.1463 0.1463 0.5668
S 0.0000 0.0000 0.0000
S 0.3276 0.3276 0.1284
S 0.6653 0.6653 0.2728
S 0.5000 0.5000 0.5000
S 0.3347 0.3347 0.7272
S 0.6724 0.6724 0.8716

***

First-principles (PBE) data for a geometry-optimized RbDyHgSe3 structure, as listed in OQMD.

Summary:
As for the space-group type: C2/m. As for the calculated total energy: -3.846 eV/atom. As for the mass density: 6.38 g/cm³.

a b c (Å): 9.4667 9.4667 9.3685
angles (deg): 101.98 101.98 25.79
Fractional positions:
Dy 0.1718 0.1718 0.0762
Dy 0.8282 0.8282 0.9238
Hg 0.5162 0.5162 0.2223
Hg 0.4838 0.4838 0.7777
Rb 0.8553 0.8553 0.4335
Rb 0.1447 0.1447 0.5665
Se 0.0000 0.0000 0.0000
Se 0.3293 0.3293 0.1307
Se 0.6686 0.6686 0.2809
Se 0.5000 0.5000 0.5000
Se 0.3314 0.3314 0.7191
Se 0.6707 0.6707 0.8693

***

First-principles (PBE) data for a geometry-optimized RbDyHgSe3 structure, as listed in OQMD.

Summary:
As for the space-group type: P2_1/m. As for the calculated total energy: -3.916 eV/atom. As for the mass density: 5.99 g/cm³.

a b c (Å): 8.7863 4.2706 10.7566
angles (deg): 90.00 109.68 90.00
Fractional positions:
Dy 0.8211 0.7500 0.3664
Dy 0.1789 0.2500 0.6336
Hg 0.5866 0.2500 0.1168
Hg 0.4134 0.7500 0.8832
Rb 0.2490 0.7500 0.2252
Rb 0.7510 0.2500 0.7748
Se 0.7470 0.7500 0.0618
Se 0.0376 0.2500 0.3589
Se 0.5899 0.2500 0.3611
Se 0.4101 0.7500 0.6389
Se 0.9624 0.7500 0.6411
Se 0.2530 0.2500 0.9382

***

First-principles (PBE) data for a geometry-optimized RbDyHgTe3 structure, as listed in OQMD.

Summary:
As for the space-group type: C2/m. As for the calculated total energy: -3.416 eV/atom. As for the mass density: 6.30 g/cm³.

a b c (Å): 10.3552 10.3552 9.8920
angles (deg): 101.41 101.41 24.97
Fractional positions:
Dy 0.1745 0.1745 0.0749
Dy 0.8255 0.8255 0.9251
Hg 0.5248 0.5248 0.2194
Hg 0.4752 0.4752 0.7806
Rb 0.8562 0.8562 0.4330
Rb 0.1438 0.1438 0.5670
Te 0.0000 0.0000 0.0000
Te 0.3286 0.3286 0.1377
Te 0.6724 0.6724 0.2882
Te 0.5000 0.5000 0.5000
Te 0.3276 0.3276 0.7118
Te 0.6714 0.6714 0.8623

***

First-principles (PBE) data for a geometry-optimized RbDyHgTe3 structure, as listed in OQMD.

Summary:
As for the space-group type: P2_1/m. As for the calculated total energy: -3.499 eV/atom. As for the mass density: 6.21 g/cm³.

a b c (Å): 9.2609 4.4971 11.3242
angles (deg): 90.00 109.60 90.00
Fractional positions:
Dy 0.3203 0.7500 0.3637
Dy 0.6797 0.2500 0.6363
Hg 0.0818 0.2500 0.1183
Hg 0.9182 0.7500 0.8817
Rb 0.7521 0.7500 0.2148
Rb 0.2479 0.2500 0.7852
Te 0.2478 0.7500 0.0614
Te 0.5437 0.2500 0.3534
Te 0.0851 0.2500 0.3660
Te 0.9149 0.7500 0.6340
Te 0.4563 0.7500 0.6466
Te 0.7522 0.2500 0.9386

***

First-principles (PBE) data for a geometry-optimized DyReHg structure, as listed in OQMD.

Summary:
As for the space-group type: F-43m. As for the calculated total energy: -4.564 eV/atom. For the energy of formation, the calculation gives 1.210 eV per atom. As for the mass density: 11.70 g/cm³.

a b c (Å): 4.7945 4.7945 4.7945
angles (deg): 60.00 60.00 60.00
Fractional positions:
Dy 0.0000 0.0000 0.0000
Hg 0.2500 0.2500 0.2500
Re 0.7500 0.7500 0.7500

***

First-principles (PBE) data for a geometry-optimized DyScHg structure, as listed in OQMD.

Summary:
Its relative energy among the computed polymorphs is 0.0 kJ/mol of formula units. As for the space-group type: F-43m. As for the calculated total energy: -3.831 eV/atom. For the energy of formation, the calculation gives -0.088 eV per atom. As for the mass density: 7.94 g/cm³.

a b c (Å): 4.9413 4.9413 4.9413
angles (deg): 60.00 60.00 60.00
Fractional positions:
Dy 0.2500 0.2500 0.2500
Hg 0.0000 0.0000 0.0000
Sc 0.7500 0.7500 0.7500